1.
{
  "formula": "Cd14InAg",
  "functional": "GGA-PBE",
  "state": "relaxed",
  "cell": [[11.015, 0.000, 0.000], [0.000, 2.991, 5.454], [0.000, -2.991, 5.454]],
  "species": ["Cd", "Cd", "Cd", "Cd", "Cd", "Cd", "Cd", "Cd", "Cd", "Cd", "Cd", "Cd", "Cd", "Cd", "In", "Ag"],
  "fractional_positions": [[0.000, 0.000, 0.000], [0.000, 0.499, 0.499], [0.000, 0.502, 0.997], [0.000, 0.997, 0.502], [0.246, 0.290, 0.290], [0.253, 0.289, 0.787], [0.253, 0.787, 0.289], [0.256, 0.786, 0.786], [0.500, 0.098, 0.596], [0.500, 0.596, 0.098], [0.744, 0.786, 0.786], [0.747, 0.289, 0.787], [0.747, 0.787, 0.289], [0.754, 0.290, 0.290], [0.500, 0.099, 0.099], [0.500, 0.593, 0.593]],
  "dos_at_fermi_per_ev_cell": 2.59,
  "vol_a3_per_cell": 359.3,
  "density_g_cm3": 8.30,
  "delta_e_f_kj_per_mol_atoms": -0.1,
  "energy_ev_per_atom": -1.151,
  "spacegroup": "Amm2, No. 38"
}

***

2.
{
  "formula": "Cd6InAg",
  "functional": "GGA-PBE",
  "state": "relaxed",
  "cell": [[4.390, 0.000, 0.000], [0.000, 4.496, 4.507], [0.000, -4.496, 4.507]],
  "species": ["Cd", "Cd", "Cd", "Cd", "Cd", "Cd", "In", "Ag"],
  "fractional_positions": [[0.000, 0.000, 0.000], [0.000, 0.508, 0.999], [0.000, 0.999, 0.508], [0.500, 0.259, 0.751], [0.500, 0.748, 0.748], [0.500, 0.751, 0.259], [0.500, 0.262, 0.262], [0.000, 0.507, 0.507]],
  "dos_at_fermi_per_ev_cell": 2.50,
  "vol_a3_per_cell": 177.9,
  "density_g_cm3": 8.37,
  "delta_e_f_kj_per_mol_atoms": 1.6,
  "energy_ev_per_atom": -1.368,
  "spacegroup": "Amm2, No. 38",
  "e_above_lowest_polymorph_ev_per_atom": 0.000
}

***

3.
{
  "formula": "Cd8In2Ag",
  "functional": "GGA-PBE",
  "state": "relaxed",
  "cell": [[6.512, -3.941, 0.000], [6.512, 3.941, 0.000], [-1.122, 0.000, 5.336]],
  "species": ["Cd", "Cd", "Cd", "Cd", "Cd", "Cd", "Cd", "Cd", "In", "In", "Ag"],
  "fractional_positions": [[0.126, 0.738, 0.707], [0.139, 0.139, 0.855], [0.262, 0.874, 0.293], [0.270, 0.270, 0.448], [0.730, 0.730, 0.552], [0.738, 0.126, 0.707], [0.861, 0.861, 0.145], [0.874, 0.262, 0.293], [0.375, 0.375, 0.000], [0.625, 0.625, 0.000], [0.500, 0.500, 0.500]],
  "dos_at_fermi_per_ev_cell": 4.29,
  "vol_a3_per_cell": 273.9,
  "density_g_cm3": 7.50,
  "delta_e_f_kj_per_mol_atoms": 6.6,
  "energy_ev_per_atom": -1.355,
  "spacegroup": "C2/m, No. 12",
  "e_above_lowest_polymorph_ev_per_atom": 0.056
}

***

Copy entry 1 word for word.
{
  "formula": "Cd14InAg",
  "functional": "GGA-PBE",
  "state": "relaxed",
  "cell": [[11.015, 0.000, 0.000], [0.000, 2.991, 5.454], [0.000, -2.991, 5.454]],
  "species": ["Cd", "Cd", "Cd", "Cd", "Cd", "Cd", "Cd", "Cd", "Cd", "Cd", "Cd", "Cd", "Cd", "Cd", "In", "Ag"],
  "fractional_positions": [[0.000, 0.000, 0.000], [0.000, 0.499, 0.499], [0.000, 0.502, 0.997], [0.000, 0.997, 0.502], [0.246, 0.290, 0.290], [0.253, 0.289, 0.787], [0.253, 0.787, 0.289], [0.256, 0.786, 0.786], [0.500, 0.098, 0.596], [0.500, 0.596, 0.098], [0.744, 0.786, 0.786], [0.747, 0.289, 0.787], [0.747, 0.787, 0.289], [0.754, 0.290, 0.290], [0.500, 0.099, 0.099], [0.500, 0.593, 0.593]],
  "dos_at_fermi_per_ev_cell": 2.59,
  "vol_a3_per_cell": 359.3,
  "density_g_cm3": 8.30,
  "delta_e_f_kj_per_mol_atoms": -0.1,
  "energy_ev_per_atom": -1.151,
  "spacegroup": "Amm2, No. 38"
}